1.
Y3TeMo: relaxed, PBE.

For the magnetization, the calculation gives 0.00 μB/f.u. The formation energy without anion corrections is 0.15 eV per atom. The total energy comes out at -32.61 eV for the cell shown. The value obtained for the density of states at the Fermi level is 6.1 states/eV/f.u. The excess energy over the best structure of this formula in the dataset comes out at 0 meV/atom.

The space group is Pm-3m (No. 221) and the conventional cell measures 5.3689, 5.3689 and 5.3689 Å, with angles of 90.00, 90.00 and 90.00 degrees. The asymmetric unit holds Y at (0.0000, 0.0000, 0.5000), Te at (0.5000, 0.5000, 0.5000) and Mo at (0.0000, 0.0000, 0.0000).

2.
Tc5W: relaxed, PBE.

For the magnetization, the calculation gives 0.00 μB/f.u. The value obtained for the energy of formation from the pure elements is 0.080 eV/atom. The total energy comes out at -128.61 eV for the cell shown. The value obtained for the density of states at the Fermi level is 7.2 states/eV/f.u. The excess energy over the best structure of this formula in the dataset comes out at 6 meV/atom.

The space group is Amm2 (No. 38) and the conventional cell measures 4.4601, 2.7772 and 14.3892 Å, with angles of 90.00, 90.00 and 90.00 degrees. The asymmetric unit holds Tc at (0.0000, 0.0000, 0.0000), Tc at (0.0000, 0.0000, 0.3301), Tc at (0.0000, 0.0000, 0.6645), Tc at (0.5000, 0.0000, 0.1126), Tc at (0.5000, 0.0000, 0.7750) and W at (0.5000, 0.0000, 0.4437).